No. 1
VASP calculation (PBE-GGA) on a relaxed structure of MgAs2Pb.

Unit cell a=5.0636 b=5.0636 c=5.0636 alpha=60.00 beta=60.00 gamma=60.00
Atoms (fractional coordinates):
1 As 0.0000 0.0000 0.0000
2 As 0.7500 0.7500 0.7500
3 Mg 0.5000 0.5000 0.5000
4 Pb 0.2500 0.2500 0.2500

Values from the calculation:
Electronic total energy in eV/atom: -3.470
Total magnetic moment in Bohr magnetons per cell: 0.00
E_form in eV per atom: 0.181
Volume in Å³ per cell: 91.8

No. 2
VASP calculation (PBE-GGA) on a relaxed structure of ErTeOs.

Unit cell a=3.3756 b=3.9817 c=11.7233 alpha=90.00 beta=90.00 gamma=115.08
Atoms (fractional coordinates):
1 Os 0.5739 0.1478 0.0000
2 Os 0.3128 0.6257 0.5000
3 Te 0.6143 0.2286 0.3622
4 Te 0.6143 0.2286 0.6378
5 Er 0.2756 0.5513 0.8550
6 Er 0.2756 0.5513 0.1450

Values from the calculation:
Electronic total energy in eV/atom: -6.226
Total magnetic moment in Bohr magnetons per cell: 0.00
Volume in Å³ per cell: 142.7